This record from Alexandria describes ZnCrSiIr after structural relaxation. The functional is PBE.

Computed properties:
Its symmetry is F-43m. The uncorrected formation energy is -0.231 eV/atom.

Lattice parameters (Å, degrees): 5.969 5.969 5.969 90.00 90.00 90.00
Fractional coordinates of all 16 atoms:
Zn (0.000, 0.000, 0.000)
Zn (0.000, 0.500, 0.500)
Zn (0.500, 0.000, 0.500)
Zn (0.500, 0.500, 0.000)
Cr (0.250, 0.250, 0.750)
Cr (0.250, 0.750, 0.250)
Cr (0.750, 0.250, 0.250)
Cr (0.750, 0.750, 0.750)
Si (0.000, 0.000, 0.500)
Si (0.000, 0.500, 0.000)
Si (0.500, 0.000, 0.000)
Si (0.500, 0.500, 0.500)
Ir (0.250, 0.250, 0.250)
Ir (0.250, 0.750, 0.750)
Ir (0.750, 0.250, 0.750)
Ir (0.750, 0.750, 0.250)